GGA-PBE YCoTc2, relaxed; density of states at the Fermi level = 3.473 states/eV per atom; magnetic moment = 0.00 μB per cell; DFT formation energy = 0.557 eV/atom
1.0
0.0000 3.1692 3.1692
3.1692 0.0000 3.1692
3.1692 3.1692 0.0000
Y Co Tc
1 1 2
Direct
0.0000 0.0000 0.0000 Y
0.5000 0.5000 0.5000 Co
0.2500 0.2500 0.2500 Tc
0.7500 0.7500 0.7500 Tc